The following is a PBE-GGA calculation of Ba2Na2TcO6 after structural relaxation, from Alexandria via LeMat-Bulk.

Unit cell a=6.3694 b=6.3694 c=5.9133 alpha=96.18 beta=96.18 gamma=118.94
With the nearest neighbours (Å) after each atom.
Positions (direct):
Na 0.1215 0.8785 0.0000  4 O 2.31-2.37
Na 0.8785 0.1215 0.0000  4 O 2.31-2.37
O 0.7092 0.9671 0.3117  1 Tc 1.96
O 0.2073 0.2073 0.2956  1 Tc 1.99
O 0.9671 0.7092 0.3117  1 Tc 1.96
O 0.0329 0.2908 0.6883  1 Tc 1.96
O 0.7927 0.7927 0.7044  1 Tc 1.99
O 0.2908 0.0329 0.6883  1 Tc 1.96
Ba 0.3380 0.6620 0.5000  6 O 2.67-2.69
Ba 0.6620 0.3380 0.5000  6 O 2.67-2.69
Tc 0.0000 0.0000 0.5000  6 O 1.96-1.99

Properties
Formation energy without anion corrections = -180.0 kJ/mol of atoms

The following is a PBE-GGA calculation of Ba5P9 after structural relaxation, from Alexandria via LeMat-Bulk.

Unit cell a=12.4416 b=10.9241 c=9.4524 alpha=74.87 beta=57.95 gamma=47.17
With the nearest neighbours (Å) after each atom.
Positions (direct):
Ba 0.2339 0.8999 0.2388  8 P 3.28-3.45
Ba 0.8681 0.3501 0.0996  7 P 3.17-3.45
Ba 0.3501 0.0161 0.6226  8 P 3.28-3.45
Ba 0.6822 0.0996 0.3501  7 P 3.17-3.45
Ba 0.4108 0.5892 0.5892  10 P 3.38-3.78
Ba 0.6608 0.8392 0.8392  10 P 3.38-3.78
Ba 0.6274 0.2388 0.8999  8 P 3.28-3.45
Ba 0.8999 0.3819 0.5678  7 P 3.17-3.45
Ba 0.1504 0.5678 0.3819  7 P 3.17-3.45
Ba 0.0112 0.6226 0.0161  8 P 3.28-3.45
P 0.2756 0.2244 0.2244  2 P 2.22
P 0.4426 0.7047 0.8586  2 P 2.21
P 0.2876 0.3579 0.6357  2 P 2.18-2.21
P 0.8921 0.9624 0.5313  2 P 2.18-2.21
P 0.2242 0.7184 0.0025  2 P 2.21-2.22
P 0.6143 0.5313 0.9624  2 P 2.18-2.21
P 0.7187 0.6357 0.3579  2 P 2.18-2.21
P 0.5316 0.0258 0.1951  2 P 2.21-2.22
P 0.9940 0.8586 0.7047  2 P 2.21
P 0.3914 0.2560 0.8074  2 P 2.21
P 0.7678 0.7527 0.4429  1 P 2.18
P 0.8071 0.2133 0.4822  1 P 2.18
P 0.2475 0.1951 0.0258  2 P 2.21-2.22
P 0.0367 0.4429 0.7527  1 P 2.18
P 0.0549 0.0025 0.7184  2 P 2.21-2.22
P 0.5453 0.8074 0.2560  2 P 2.21
P 0.4973 0.4822 0.2133  1 P 2.18
P 0.0256 0.9744 0.9744  2 P 2.22

Properties
VASP energy = -140.1 eV/cell

The following is a PBE-GGA calculation of HfW5 after structural relaxation, from Alexandria via LeMat-Bulk.

Unit cell a=3.2117 b=4.5837 c=7.2083 alpha=108.54 beta=90.00 gamma=90.00
With the nearest neighbours (Å) after each atom.
Positions (direct):
W 0.0000 0.6669 0.3338  8 W 2.73-2.80
W 0.5000 0.5000 0.0000  4 W 2.79, 4 Hf 2.80
W 0.5000 0.1719 0.3438  6 W 2.73-2.80, 2 Hf 2.85
W 0.0000 0.3331 0.6662  8 W 2.73-2.80
W 0.5000 0.8281 0.6562  6 W 2.73-2.80, 2 Hf 2.85
Hf 0.0000 0.0000 0.0000  8 W 2.80-2.85

Properties
VASP energy = -74.7 eV/cell

The following is a PBE-GGA calculation of Pr2HfP3Rh4 after structural relaxation, from Alexandria via LeMat-Bulk.

Unit cell a=4.0467 b=4.0467 c=10.8875 alpha=90.00 beta=90.00 gamma=90.00
With the nearest neighbours (Å) after each atom.
Positions (direct):
P 0.5000 0.0000 0.8690  5 Rh 2.41-2.48
P 0.0000 0.5000 0.1310  5 Rh 2.41-2.48
P 0.0000 0.0000 0.5000  4 Rh 2.58, 4 Hf 2.86
Hf 0.5000 0.5000 0.5000  4 Rh 2.58, 4 P 2.86
Rh 0.0000 0.0000 0.0000  4 P 2.48
Rh 0.5000 0.5000 0.0000  4 P 2.48
Rh 0.5000 0.0000 0.6475  3 P 2.41-2.58, 2 Hf 2.58
Rh 0.0000 0.5000 0.3525  3 P 2.41-2.58, 2 Hf 2.58
Pr 0.0000 0.5000 0.7733  4 P 3.05, 8 Rh 3.17-3.19
Pr 0.5000 0.0000 0.2267  4 P 3.05, 8 Rh 3.17-3.19

Properties
VASP energy = -75.7 eV/cell

The following is a PBE-GGA calculation of CeNdIn2 after structural relaxation, from Alexandria via LeMat-Bulk.

Unit cell a=4.5482 b=5.0040 c=5.0040 alpha=90.00 beta=90.00 gamma=90.00
With the nearest neighbours (Å) after each atom.
Positions (direct):
Ce 0.5000 0.5000 0.5000  8 In 3.38, 4 Nd 3.54
In 0.0000 0.0000 0.5000  4 Ce 3.38, 4 Nd 3.38, 4 In 3.54
In 0.0000 0.5000 0.0000  4 Ce 3.38, 4 Nd 3.38, 4 In 3.54
Nd 0.5000 0.0000 0.0000  8 In 3.38, 4 Ce 3.54

Properties
VASP energy = -17.8 eV/cell

The following is a PBE-GGA calculation of Sr2CdBr after structural relaxation, from Alexandria via LeMat-Bulk.

Unit cell a=5.9658 b=5.9658 c=3.8143 alpha=89.84 beta=89.84 gamma=89.95
With the nearest neighbours (Å) after each atom.
Positions (direct):
Sr 0.0000 0.0000 0.0000  4 Br 3.54, 4 Cd 3.54, 2 Sr 3.81
Sr 0.5000 0.5000 0.0000  4 Cd 3.54, 4 Br 3.54, 2 Sr 3.81
Br 0.5000 0.0000 0.5000  8 Sr 3.54, 2 Br 3.81
Cd 0.0000 0.5000 0.5000  8 Sr 3.54, 2 Cd 3.81

Properties
Formation energy without anion corrections = -74.6 kJ/mol of atoms
Energy above the most stable polymorph in this dataset = 0.101 eV per atom

The following is a PBE-GGA calculation of LiBe3Si3 after structural relaxation, from Alexandria via LeMat-Bulk.

Unit cell a=6.2696 b=6.2696 c=6.2696 alpha=90.00 beta=90.00 gamma=90.00
With the nearest neighbours (Å) after each atom.
Positions (direct):
Si 0.0000 0.7500 0.5000  4 Be 2.22
Si 0.5000 0.0000 0.7500  4 Be 2.22
Si 0.2500 0.5000 0.0000  4 Be 2.22
Si 0.5000 0.0000 0.2500  4 Be 2.22
Si 0.0000 0.2500 0.5000  4 Be 2.22
Si 0.7500 0.5000 0.0000  4 Be 2.22
Be 0.2500 0.0000 0.5000  4 Si 2.22
Be 0.7500 0.0000 0.5000  4 Si 2.22
Be 0.0000 0.5000 0.2500  4 Si 2.22
Be 0.5000 0.7500 0.0000  4 Si 2.22
Be 0.5000 0.2500 0.0000  4 Si 2.22
Be 0.0000 0.5000 0.7500  4 Si 2.22
Li 0.5000 0.5000 0.5000  12 Be 3.50, 12 Si 3.50
Li 0.0000 0.0000 0.0000  12 Be 3.50, 12 Si 3.50

Properties
Formation energy without anion corrections = 57.2 kJ/mol of atoms

The following is a PBE-GGA calculation of ErZrPt2 after structural relaxation, from Alexandria via LeMat-Bulk.

Unit cell a=3.4000 b=3.4000 c=6.9331 alpha=90.00 beta=90.00 gamma=90.00
With the nearest neighbours (Å) after each atom.
Positions (direct):
Pt 0.0000 0.0000 0.7740  4 Zr 2.87, 4 Er 3.06, 1 Pt 3.13
Pt 0.0000 0.0000 0.2260  4 Zr 2.87, 4 Er 3.06, 1 Pt 3.13
Er 0.5000 0.5000 0.5000  8 Pt 3.06, 4 Er 3.40
Zr 0.5000 0.5000 0.0000  8 Pt 2.87

Properties
VASP energy = -29.5 eV/cell

The following is a PBE-GGA calculation of CaZr2Cr after structural relaxation, from Alexandria via LeMat-Bulk.

Unit cell a=6.1137 b=6.1113 c=6.1127 alpha=147.66 beta=131.11 gamma=59.84
With the nearest neighbours (Å) after each atom.
Positions (direct):
Zr 0.9548 0.9546 0.0003  2 Cr 2.63
Zr 0.2485 0.7486 0.4999  4 Cr 3.05-3.06, 4 Zr 3.34-3.40, 1 Ca 3.42
Ca 0.5318 0.5316 0.0002  2 Cr 3.00-3.01, 4 Zr 3.16
Cr 0.7649 0.2653 0.4996  2 Zr 2.63

Properties
Energy above the most stable polymorph in this dataset = 0.218 eV per atom

The following is a PBE-GGA calculation of La6PdPt2Cl3 after structural relaxation, from Alexandria via LeMat-Bulk.

Unit cell a=4.2841 b=8.9988 c=9.9150 alpha=107.33 beta=102.48 gamma=90.00
With the nearest neighbours (Å) after each atom.
Positions (direct):
La 0.0094 0.2327 0.0188  1 Pt 2.89, 2 Pd 2.96
La 0.3240 0.4384 0.6480  3 Pt 2.91-2.94
La 0.6760 0.5616 0.3520  3 Pt 2.91-2.94
La 0.3414 0.8958 0.6828  1 Pd 2.92, 2 Pt 2.93, 1 Cl 3.26
La 0.6586 0.1042 0.3172  1 Pd 2.92, 2 Pt 2.93, 1 Cl 3.26
La 0.9906 0.7673 0.9812  1 Pt 2.89, 2 Pd 2.96
Pt 0.8339 0.6685 0.6679  6 La 2.89-2.94
Pt 0.1661 0.3315 0.3321  6 La 2.89-2.94
Cl 0.8339 0.1683 0.6678  6 La 3.26-3.29
Cl 0.5000 0.5000 0.0000  6 La 3.27-3.28
Cl 0.1661 0.8317 0.3322  6 La 3.26-3.29
Pd 0.5000 0.0000 0.0000  6 La 2.92-2.96

Properties
Formation energy without anion corrections = -130.4 kJ/mol of atoms

The following is a PBE-GGA calculation of TaPIrO2 after structural relaxation, from Alexandria via LeMat-Bulk.

Unit cell a=3.7972 b=3.7972 c=5.4790 alpha=90.00 beta=90.00 gamma=90.00
With the nearest neighbours (Å) after each atom.
Positions (direct):
O 0.5000 0.0000 0.0000  2 Ta 1.90
O 0.0000 0.5000 0.0000  2 Ta 1.90
Ta 0.0000 0.0000 0.0000  4 O 1.90
P 0.0000 0.0000 0.5000  4 Ir 2.69, 2 Ta 2.74
Ir 0.5000 0.5000 0.5000  4 P 2.69

Properties
Formation energy without anion corrections = -79.6 kJ/mol of atoms
Energy above the most stable polymorph in this dataset = 0.000 eV per atom

The following is a PBE-GGA calculation of Tm8Co2Ni after structural relaxation, from Alexandria via LeMat-Bulk.

Unit cell a=4.8385 b=6.5723 c=8.7369 alpha=106.67 beta=106.08 gamma=90.00
With the nearest neighbours (Å) after each atom.
Positions (direct):
Tm 0.0351 0.7903 0.0702  1 Co 2.75, 2 Ni 2.93
Tm 0.5951 0.4550 0.1901  1 Ni 2.94, 2 Co 3.07, 4 Tm 3.26-3.29
Tm 0.7978 0.6790 0.5955  1 Co 2.63
Tm 0.6713 0.9729 0.3427  1 Co 2.67, 1 Ni 2.93
Tm 0.9649 0.2097 0.9298  1 Co 2.75, 2 Ni 2.93
Tm 0.2022 0.3210 0.4045  1 Co 2.63
Tm 0.3287 0.0271 0.6573  1 Co 2.67, 1 Ni 2.93
Tm 0.4049 0.5450 0.8099  1 Ni 2.94, 2 Co 3.07, 4 Tm 3.26-3.29
Co 0.8136 0.2925 0.6271  3 Tm 2.63-2.75
Co 0.1864 0.7075 0.3729  3 Tm 2.63-2.75
Ni 0.5000 0.0000 0.0000  8 Tm 2.93-2.94

Properties
Energy above the most stable polymorph in this dataset = 0.000 eV per atom